No. 1
## LiSm2Ho (PBE)

Data for crystalline LiSm2Ho at its relaxed geometry.

Cell and atoms, written as POSCAR:
```
LiSm2Ho
1.0
3.516 0.000 0.000
-1.758 3.045 0.000
0.000 0.000 11.797
Li Sm Ho
1 2 1
direct
0.000 0.000 0.000
0.000 0.000 0.726
0.667 0.333 0.240
0.333 0.667 0.485
```

Properties
- space group = P3m1 (156)
- energy above the most stable polymorph in this dataset (meV per atom) = 54
- formation energy from the elements (eV/atom) = 0.12

---

No. 2
## NpIn2Cu (PBE)

Data for crystalline NpIn2Cu at its relaxed geometry.

Cell and atoms, written as POSCAR:
```
NpIn2Cu
1.0
3.180 0.000 0.000
0.000 3.180 0.000
0.000 0.000 8.357
Np In Cu
1 2 1
direct
0.000 0.000 0.000
0.500 0.500 0.294
0.500 0.500 0.706
0.000 0.000 0.500
```

Properties
- space group = P4/mmm (123)
- formation energy from the elements (eV/atom) = 0.10

---

No. 3
## BaSn4Pd4 (PBE)

Data for crystalline BaSn4Pd4 at its relaxed geometry.

Cell and atoms, written as POSCAR:
```
BaSn4Pd4
1.0
-4.641 4.641 2.582
4.641 -4.641 2.582
4.641 4.641 -2.582
Ba Sn Pd
1 4 4
direct
0.000 0.000 0.000
0.126 0.615 0.741
0.385 0.126 0.511
0.615 0.874 0.489
0.874 0.385 0.259
0.181 0.327 0.508
0.327 0.819 0.146
0.673 0.181 0.854
0.819 0.673 0.492
```

Properties
- space group = I4/m (87)
- formation energy from the elements (eV/atom) = -0.58

---

No. 4
## Tb2Pm2PrY2 (PBE)

Data for crystalline Tb2Pm2PrY2 at its relaxed geometry.

Cell and atoms, written as POSCAR:
```
Tb2Pm2PrY2
1.0
11.399 0.000 0.000
0.000 5.110 0.000
-1.143 0.000 8.008
Tb Pm Pr Y
4 4 2 4
direct
0.071 0.000 0.214
0.429 0.500 0.786
0.571 0.500 0.214
0.929 0.000 0.786
0.142 0.500 0.930
0.358 0.000 0.070
0.642 0.000 0.930
0.858 0.500 0.070
0.000 0.500 0.500
0.500 0.000 0.500
0.215 0.000 0.643
0.285 0.500 0.357
0.715 0.500 0.643
0.785 0.000 0.357
```

Properties
- space group = C2/m (12)
- formation energy from the elements (eV/atom) = 0.02

---

| no. | total magnetization (μB/atom) |
| --- | --- |
| 1 | 0.00 |
| 2 | 1.17 |
| 3 | 0.00 |
| 4 | 0.00 |